1.
VASP calculation (GGA-PBE) on a relaxed structure of LiPtN3.

a = 3.5670 Å, b = 3.5670 Å, c = 3.5670 Å
α = 90.00°, β = 90.00°, γ = 90.00°
With the nearest neighbours (Å) after each atom.
Fractional positions:
1 Li 0.0000 0.0000 0.0000  6 N 1.78
2 Pt 0.5000 0.5000 0.5000  12 N 2.52
3 N 0.0000 0.5000 0.0000  2 Li 1.78
4 N 0.0000 0.0000 0.5000  2 Li 1.78
5 N 0.5000 0.0000 0.0000  2 Li 1.78

**Size of the total moment**: 0.0 μB/f.u.
**Total DFT energy (no corrections)**: -0.159 hartree per atom
**Raw formation energy**: 2251 meV/atom

***

2.
VASP calculation (GGA-PBE) on a relaxed structure of MnCdIn2Cl6.

a = 7.3072 Å, b = 7.2997 Å, c = 7.1834 Å
α = 59.49°, β = 59.35°, γ = 59.92°
With the nearest neighbours (Å) after each atom.
Fractional positions:
1 Mn 0.8163 0.8163 0.5511  6 Cl 2.53-2.54
2 Cd 0.3161 0.3163 0.0516  6 Cl 2.66-2.67
3 In 0.5755 0.5764 0.2688  6 Cl 3.21-3.44
4 In 0.0576 0.0569 0.8313  6 Cl 3.21-3.46
5 Cl 0.5748 0.1195 0.3060  1 Mn 2.53, 1 Cd 2.67
6 Cl 0.1198 0.9993 0.2999  1 Mn 2.53, 1 Cd 2.67
7 Cl 0.9969 0.5772 0.3037  1 Mn 2.53, 1 Cd 2.66
8 Cl 0.5124 0.6330 0.8044  1 Mn 2.53, 1 Cd 2.67
9 Cl 0.6353 0.0542 0.8006  1 Mn 2.53, 1 Cd 2.66
10 Cl 0.0570 0.5125 0.7980  1 Mn 2.54, 1 Cd 2.67

**Size of the total moment**: 5.0 μB/f.u.
**Total DFT energy (no corrections)**: -0.133 hartree per atom
**Raw formation energy**: -956 meV/atom

***

3.
VASP calculation (GGA-PBE) on a relaxed structure of Pr5NdSm12.

a = 11.6249 Å, b = 10.5886 Å, c = 6.0871 Å
α = 89.99°, β = 89.98°, γ = 56.71°
With the nearest neighbours (Å) after each atom.
Fractional positions:
1 Pr 0.5000 0.0000 0.5000  8 Sm 3.42-3.76
2 Pr 0.1664 0.6672 0.5000  8 Sm 3.42-3.76
3 Pr 0.8336 0.3328 0.5000  8 Sm 3.42-3.76
4 Pr 0.6664 0.6673 0.0000  8 Sm 3.42-3.76
5 Pr 0.3336 0.3327 0.0000  8 Sm 3.42-3.76
6 Nd 0.0000 0.0000 0.0000  8 Sm 3.41-3.75
7 Sm 0.8222 0.0000 0.4466  1 Nd 3.41, 6 Sm 3.45-3.80, 3 Pr 3.61-3.76
8 Sm 0.1778 0.0000 0.5534  1 Nd 3.41, 6 Sm 3.45-3.80, 3 Pr 3.61-3.76
9 Sm 0.6787 0.0000 0.9468  3 Pr 3.42-3.62, 6 Sm 3.45-3.81, 1 Nd 3.75
10 Sm 0.3213 0.0000 0.0532  3 Pr 3.42-3.62, 6 Sm 3.45-3.81, 1 Nd 3.75
11 Sm 0.3442 0.6669 0.9485  3 Pr 3.42-3.76, 6 Sm 3.45-3.81, 1 Nd 3.61
12 Sm 0.9889 0.6669 0.0515  3 Pr 3.42-3.76, 6 Sm 3.45-3.81, 1 Nd 3.61
13 Sm 0.0111 0.3331 0.9485  3 Pr 3.42-3.76, 6 Sm 3.45-3.81, 1 Nd 3.61
14 Sm 0.6558 0.3331 0.0515  3 Pr 3.42-3.76, 6 Sm 3.45-3.81, 1 Nd 3.61
15 Sm 0.5114 0.3333 0.5517  4 Pr 3.42-3.76, 6 Sm 3.45-3.81
16 Sm 0.8446 0.6667 0.5517  4 Pr 3.42-3.76, 6 Sm 3.45-3.81
17 Sm 0.1554 0.3333 0.4483  4 Pr 3.42-3.76, 6 Sm 3.45-3.81
18 Sm 0.4886 0.6667 0.4483  4 Pr 3.42-3.76, 6 Sm 3.45-3.81

**Calculated formation energy**: 0.095 eV/atom
**Size of the total moment**: 0.0 μB/f.u.
**Total DFT energy (no corrections)**: -0.171 hartree per atom

***

4.
VASP calculation (GGA-PBE) on a relaxed structure of SiMo3H.

a = 3.9730 Å, b = 3.9730 Å, c = 3.9730 Å
α = 90.00°, β = 90.00°, γ = 90.00°
With the nearest neighbours (Å) after each atom.
Fractional positions:
1 H 0.0000 0.0000 0.0000  6 Mo 1.99
2 Mo 0.0000 0.5000 0.0000  2 H 1.99
3 Mo 0.0000 0.0000 0.5000  2 H 1.99
4 Mo 0.5000 0.0000 0.0000  2 H 1.99
5 Si 0.5000 0.5000 0.5000  12 Mo 2.81

**Size of the total moment**: 0.0 μB/f.u.
**Total DFT energy (no corrections)**: -0.301 hartree per atom

***

- The highest total DFT energy (no corrections) belongs to which entry?
  MnCdIn2Cl6

***

Repeat the fourth record exactly.
VASP calculation (GGA-PBE) on a relaxed structure of SiMo3H.

a = 3.9730 Å, b = 3.9730 Å, c = 3.9730 Å
α = 90.00°, β = 90.00°, γ = 90.00°
With the nearest neighbours (Å) after each atom.
Fractional positions:
1 H 0.0000 0.0000 0.0000  6 Mo 1.99
2 Mo 0.0000 0.5000 0.0000  2 H 1.99
3 Mo 0.0000 0.0000 0.5000  2 H 1.99
4 Mo 0.5000 0.0000 0.0000  2 H 1.99
5 Si 0.5000 0.5000 0.5000  12 Mo 2.81

**Size of the total moment**: 0.0 μB/f.u.
**Total DFT energy (no corrections)**: -0.301 hartree per atom